(1)
VASP calculation (GGA-PBEsol) on a relaxed structure of MnHgF2.

ΔE_f (raw) in eV per formula unit: -6.19
Total DFT energy (no corrections) in eV for the cell shown: -20.378
Space-group type: No. 166
Density in g cm⁻³: 6.18
V in Å³/atom: 19.71
DOS(E_F) in states/eV/cell: 0.18

a = 3.284 Å, b = 3.284 Å, c = 8.650 Å
α = 79.06°, β = 79.06°, γ = 60.00°
Site moments in Bohr magnetons follow the coordinates.
Fractional positions:
Mn (0.500, 0.500, 0.500)  4.56
F (0.871, 0.871, 0.387)  0.09
Hg (0.000, 0.000, 0.000)  0.00
F (0.129, 0.129, 0.613)  0.09


(2)
VASP calculation (GGA-PBEsol) on a relaxed structure of MgRuSN2.

ΔE_f (raw) in eV per formula unit: 0.67
Total DFT energy (no corrections) in eV for the cell shown: -32.653
Space-group type: No. 123
Density in g cm⁻³: 4.33
V in Å³/atom: 14.21
DOS(E_F) in states/eV/cell: 2.63

a = 3.726 Å, b = 3.726 Å, c = 5.119 Å
α = 90.00°, β = 90.00°, γ = 90.00°
Fractional positions:
Mg (0.500, 0.500, 0.500)
S (0.000, 0.000, 0.500)
N (0.500, 0.000, 0.000)
Ru (0.000, 0.000, 0.000)
N (0.000, 0.500, 0.000)


(3)
VASP calculation (GGA-PBEsol) on a relaxed structure of ScNi2Mo.

Total DFT energy (no corrections) in eV for the cell shown: -30.707
Space-group type: No. 44
Energy of formation from the pure elements in eV per atom: 0.00
Density in g cm⁻³: 7.76
V in Å³/atom: 13.82
DOS(E_F) in states/eV/cell: 4.96

a = 2.725 Å, b = 4.374 Å, c = 5.307 Å
α = 114.34°, β = 104.87°, γ = 90.00°
Fractional positions:
Mo (0.274, 0.774, 0.548)
Sc (0.491, 0.491, 0.983)
Ni (0.009, 0.009, 0.019)
Ni (0.725, 0.225, 0.451)


(4)
VASP calculation (GGA-PBEsol) on a relaxed structure of FeNiW3.

Total DFT energy (no corrections) in eV for the cell shown: -48.825
Space-group type: No. 221
Energy of formation from the pure elements in eV per atom: 1.54
Density in g cm⁻³: 13.33
V in Å³/atom: 16.59
DOS(E_F) in states/eV/cell: 5.28

a = 4.361 Å, b = 4.361 Å, c = 4.361 Å
α = 90.00°, β = 90.00°, γ = 90.00°
Fractional positions:
Ni (0.500, 0.500, 0.500)
Fe (0.000, 0.000, 0.000)
W (0.000, 0.500, 0.000)
W (0.500, 0.000, 0.000)
W (0.000, 0.000, 0.500)


(5)
VASP calculation (GGA-PBEsol) on a relaxed structure of Al4CrIr.

Total DFT energy (no corrections) in eV for the cell shown: -35.527
Space-group type: No. 216
Energy of formation from the pure elements in eV per atom: 0.15
Density in g cm⁻³: 6.74
V in Å³/atom: 14.47
DOS(E_F) in states/eV/cell: 3.39

a = 4.970 Å, b = 4.970 Å, c = 4.970 Å
α = 60.00°, β = 60.00°, γ = 60.00°
Site moments in Bohr magnetons follow the coordinates.
Fractional positions:
Al (0.874, 0.375, 0.375)  -0.02
Ir (0.000, 0.000, 0.000)  0.23
Al (0.375, 0.375, 0.874)  -0.02
Cr (0.750, 0.750, 0.750)  2.99
Al (0.375, 0.375, 0.375)  -0.02
Al (0.375, 0.874, 0.375)  -0.02


(6)
VASP calculation (GGA-PBEsol) on a relaxed structure of SbPdNO2.

ΔE_f (raw) in eV per formula unit: 1.21
Total DFT energy (no corrections) in eV for the cell shown: -28.327
Space-group type: No. 123
Density in g cm⁻³: 7.57
V in Å³/atom: 12.04
DOS(E_F) in states/eV/cell: 2.21

a = 3.893 Å, b = 3.932 Å, c = 3.932 Å
α = 90.00°, β = 90.00°, γ = 90.00°
Fractional positions:
Pd (0.000, 0.000, 0.000)
N (0.500, 0.000, 0.000)
O (0.000, 0.000, 0.500)
Sb (0.500, 0.500, 0.500)
O (0.000, 0.500, 0.000)


(7)
VASP calculation (GGA-PBEsol) on a relaxed structure of CaMnHg.

Total DFT energy (no corrections) in eV for the cell shown: -11.500
Space-group type: No. 216
Energy of formation from the pure elements in eV per atom: 0.32
Density in g cm⁻³: 6.35
V in Å³/atom: 25.76
DOS(E_F) in states/eV/cell: 3.57

a = 4.781 Å, b = 4.781 Å, c = 4.781 Å
α = 60.00°, β = 60.00°, γ = 60.00°
Site moments in Bohr magnetons follow the coordinates.
Fractional positions:
Mn (0.000, 0.000, 0.000)  3.98
Hg (0.250, 0.250, 0.250)  -0.07
Ca (0.500, 0.500, 0.500)  -0.06


(8)
VASP calculation (GGA-PBEsol) on a relaxed structure of TlSi3Pb.

ΔE_f (raw) in eV per formula unit: 6.69
Total DFT energy (no corrections) in eV for the cell shown: -17.174
Space-group type: No. 221
Density in g cm⁻³: 5.55
V in Å³/atom: 29.68
DOS(E_F) in states/eV/cell: 3.91

a = 5.294 Å, b = 5.294 Å, c = 5.294 Å
α = 90.00°, β = 90.00°, γ = 90.00°
Fractional positions:
Pb (0.000, 0.000, 0.000)
Si (0.500, 0.000, 0.000)
Si (0.000, 0.000, 0.500)
Si (0.000, 0.500, 0.000)
Tl (0.500, 0.500, 0.500)


(9)
VASP calculation (GGA-PBEsol) on a relaxed structure of YMoP2.

Total DFT energy (no corrections) in eV for the cell shown: -32.716
Space-group type: No. 8
Energy of formation from the pure elements in eV per atom: -0.64
Density in g cm⁻³: 5.97
V in Å³/atom: 17.16
DOS(E_F) in states/eV/cell: 4.28

a = 3.293 Å, b = 4.828 Å, c = 4.594 Å
α = 91.40°, β = 90.00°, γ = 109.94°
Fractional positions:
P (0.957, 0.913, 0.886)
P (0.786, 0.573, 0.302)
Y (0.511, 0.022, 0.401)
Mo (0.246, 0.492, 0.912)


(10)
VASP calculation (GGA-PBEsol) on a relaxed structure of BeTe3W.

ΔE_f (raw) in eV per formula unit: 5.88
Total DFT energy (no corrections) in eV for the cell shown: -22.502
Space-group type: No. 221
Density in g cm⁻³: 8.71
V in Å³/atom: 21.95
DOS(E_F) in states/eV/cell: 2.81

a = 4.787 Å, b = 4.787 Å, c = 4.787 Å
α = 90.00°, β = 90.00°, γ = 90.00°
Site moments in Bohr magnetons follow the coordinates.
Fractional positions:
Te (0.000, 0.500, 0.000)  -0.09
W (0.500, 0.500, 0.500)  2.20
Be (0.000, 0.000, 0.000)  0.02
Te (0.000, 0.000, 0.500)  -0.09
Te (0.500, 0.000, 0.000)  -0.09


(11)
VASP calculation (GGA-PBEsol) on a relaxed structure of V5NiP6O24.

ΔE_f (raw) in eV per formula unit: -76.36
Total DFT energy (no corrections) in eV for the cell shown: -291.426
Space-group type: No. 146
Density in g cm⁻³: 3.51
V in Å³/atom: 11.60
DOS(E_F) in states/eV/cell: 13.37

a = 8.260 Å, b = 8.260 Å, c = 8.260 Å
α = 62.15°, β = 62.15°, γ = 62.15°
Site moments in Bohr magnetons follow the coordinates.
Fractional positions:
O (0.094, 0.944, 0.749)  -0.02
P (0.540, 0.248, 0.958)  0.02
O (0.986, 0.390, 0.177)  0.05
O (0.666, 0.888, 0.512)  -0.01
O (0.594, 0.249, 0.441)  -0.02
O (0.751, 0.567, 0.407)  -0.02
O (0.567, 0.407, 0.751)  -0.02
V (0.001, 0.001, 0.001)  2.03
O (0.819, 0.002, 0.619)  -0.01
V (0.501, 0.501, 0.501)  2.17
O (0.117, 0.498, 0.321)  0.00
O (0.177, 0.986, 0.390)  0.05
O (0.002, 0.619, 0.819)  -0.01
P (0.043, 0.458, 0.750)  0.02
P (0.750, 0.043, 0.458)  0.02
P (0.958, 0.540, 0.248)  0.02
O (0.944, 0.749, 0.094)  -0.02
O (0.512, 0.666, 0.888)  -0.01
Ni (0.140, 0.140, 0.140)  1.60
O (0.256, 0.902, 0.050)  0.04
V (0.360, 0.360, 0.360)  1.41
O (0.249, 0.441, 0.594)  -0.02
O (0.321, 0.117, 0.498)  0.00
P (0.248, 0.958, 0.540)  0.02
V (0.642, 0.642, 0.642)  1.34
O (0.441, 0.594, 0.249)  -0.02
O (0.749, 0.094, 0.944)  -0.02
O (0.498, 0.321, 0.117)  0.00
V (0.861, 0.861, 0.861)  1.44
O (0.050, 0.256, 0.902)  0.04
O (0.390, 0.177, 0.986)  0.05
O (0.902, 0.050, 0.256)  0.04
O (0.407, 0.751, 0.567)  -0.02
P (0.458, 0.750, 0.043)  0.02
O (0.619, 0.819, 0.002)  -0.01
O (0.888, 0.512, 0.666)  -0.01


(12)
VASP calculation (GGA-PBEsol) on a relaxed structure of NaCeO2.

ΔE_f (raw) in eV per formula unit: -10.30
Total DFT energy (no corrections) in eV for the cell shown: -57.579
Space-group type: No. 141
Density in g cm⁻³: 5.42
V in Å³/atom: 14.95
DOS(E_F) in states/eV/cell: 8.48

a = 4.720 Å, b = 4.720 Å, c = 6.319 Å
α = 111.93°, β = 111.93°, γ = 90.00°
Site moments in Bohr magnetons follow the coordinates.
Fractional positions:
O (0.778, 0.778, 0.556)  -0.03
Ce (0.000, 0.000, 0.000)  0.92
O (0.028, 0.528, 0.056)  -0.03
Na (0.500, 0.500, 0.000)  0.00
O (0.222, 0.222, 0.444)  -0.03
Na (0.750, 0.250, 0.500)  0.00
Ce (0.250, 0.750, 0.500)  0.92
O (0.472, 0.972, 0.944)  -0.03


(13)
VASP calculation (GGA-PBEsol) on a relaxed structure of TaAl2Tl.

Total DFT energy (no corrections) in eV for the cell shown: -22.921
Space-group type: No. 119
Energy of formation from the pure elements in eV per atom: 0.11
Density in g cm⁻³: 10.47
V in Å³/atom: 17.42
DOS(E_F) in states/eV/cell: 0.89

a = 3.932 Å, b = 3.932 Å, c = 5.294 Å
α = 111.80°, β = 111.80°, γ = 90.00°
Fractional positions:
Tl (0.250, 0.750, 0.500)
Ta (0.500, 0.500, 0.000)
Al (0.750, 0.250, 0.500)
Al (0.000, 0.000, 0.000)


(14)
VASP calculation (GGA-PBEsol) on a relaxed structure of FeHg2Cl.

ΔE_f (raw) in eV per formula unit: 0.34
Total DFT energy (no corrections) in eV for the cell shown: -11.764
Space-group type: No. 35
Density in g cm⁻³: 9.91
V in Å³/atom: 20.63
DOS(E_F) in states/eV/cell: 2.16

a = 2.995 Å, b = 3.178 Å, c = 9.829 Å
α = 90.00°, β = 90.00°, γ = 118.11°
Site moments in Bohr magnetons follow the coordinates.
Fractional positions:
Hg (0.000, 0.000, 0.961)  -0.02
Cl (0.000, 0.000, 0.564)  0.14
Fe (0.500, 0.000, 0.735)  2.98
Hg (0.500, 0.000, 0.241)  0.01


(15)
VASP calculation (GGA-PBEsol) on a relaxed structure of Sc3MoPt.

Total DFT energy (no corrections) in eV for the cell shown: -36.469
Space-group type: No. 221
Energy of formation from the pure elements in eV per atom: 0.42
Density in g cm⁻³: 5.86
V in Å³/atom: 24.14
DOS(E_F) in states/eV/cell: 5.54

a = 4.942 Å, b = 4.942 Å, c = 4.942 Å
α = 90.00°, β = 90.00°, γ = 90.00°
Site moments in Bohr magnetons follow the coordinates.
Fractional positions:
Mo (0.500, 0.500, 0.500)  2.47
Sc (0.000, 0.000, 0.500)  -0.10
Pt (0.000, 0.000, 0.000)  0.00
Sc (0.000, 0.500, 0.000)  -0.10
Sc (0.500, 0.000, 0.000)  -0.10


(16)
VASP calculation (GGA-PBEsol) on a relaxed structure of RbBaNi2Ag.

Total DFT energy (no corrections) in eV for the cell shown: -14.604
Space-group type: No. 123
Energy of formation from the pure elements in eV per atom: 0.84
Density in g cm⁻³: 5.30
V in Å³/atom: 28.07
DOS(E_F) in states/eV/cell: 5.86

a = 4.997 Å, b = 4.997 Å, c = 5.621 Å
α = 90.00°, β = 90.00°, γ = 90.00°
Site moments in Bohr magnetons follow the coordinates.
Fractional positions:
Rb (0.500, 0.500, 0.500)  -0.01
Ni (0.500, 0.000, 0.000)  0.38
Ag (0.000, 0.000, 0.000)  -0.01
Ni (0.000, 0.500, 0.000)  0.38
Ba (0.000, 0.000, 0.500)  -0.03


(17)
VASP calculation (GGA-PBEsol) on a relaxed structure of YTiZn2O.

ΔE_f (raw) in eV per formula unit: -2.26
Total DFT energy (no corrections) in eV for the cell shown: -25.819
Space-group type: No. 123
Density in g cm⁻³: 5.34
V in Å³/atom: 17.64
DOS(E_F) in states/eV/cell: 4.23

a = 4.243 Å, b = 4.559 Å, c = 4.559 Å
α = 90.00°, β = 90.00°, γ = 90.00°
Site moments in Bohr magnetons follow the coordinates.
Fractional positions:
Zn (0.000, 0.000, 0.500)  0.05
O (0.000, 0.000, 0.000)  0.12
Y (0.500, 0.000, 0.000)  0.21
Ti (0.500, 0.500, 0.500)  1.56
Zn (0.000, 0.500, 0.000)  0.05


(18)
VASP calculation (GGA-PBEsol) on a relaxed structure of AlSN2.

ΔE_f (raw) in eV per formula unit: 2.52
Total DFT energy (no corrections) in eV for the cell shown: -23.006
Space-group type: No. 166
Density in g cm⁻³: 3.56
V in Å³/atom: 10.16
DOS(E_F) in states/eV/cell: 1.26

a = 2.784 Å, b = 2.784 Å, c = 6.266 Å
α = 77.17°, β = 77.17°, γ = 60.00°
Fractional positions:
N (0.890, 0.890, 0.331)
Al (0.000, 0.000, 0.000)
N (0.110, 0.110, 0.669)
S (0.500, 0.500, 0.500)


(19)
VASP calculation (GGA-PBEsol) on a relaxed structure of KBa3.

Total DFT energy (no corrections) in eV for the cell shown: -7.227
Space-group type: No. 12
Energy of formation from the pure elements in eV per atom: 0.09
Density in g cm⁻³: 3.03
V in Å³/atom: 61.75
DOS(E_F) in states/eV/cell: 4.71

a = 4.362 Å, b = 7.767 Å, c = 7.694 Å
α = 98.51°, β = 106.47°, γ = 90.00°
Fractional positions:
K (0.000, 0.000, 0.000)
Ba (0.500, 0.500, 0.000)
Ba (0.251, 0.745, 0.501)
Ba (0.749, 0.255, 0.499)


(20)
VASP calculation (GGA-PBEsol) on a relaxed structure of Y2TeAsO.

ΔE_f (raw) in eV per formula unit: 0.13
Total DFT energy (no corrections) in eV for the cell shown: -27.395
Space-group type: No. 123
Density in g cm⁻³: 4.53
V in Å³/atom: 29.06
DOS(E_F) in states/eV/cell: 2.48

a = 5.106 Å, b = 5.334 Å, c = 5.334 Å
α = 90.00°, β = 90.00°, γ = 90.00°
Fractional positions:
Y (0.000, 0.500, 0.000)
As (0.000, 0.000, 0.000)
Y (0.000, 0.000, 0.500)
O (0.500, 0.500, 0.500)
Te (0.500, 0.000, 0.000)